Entry i
VASP calculation (PBE) on Tb2CoNi after structural relaxation.

Geometry as POSCAR:
```
Tb2CoNi
1.0
4.7643 0.0000 0.0000
2.3822 4.1260 0.0000
2.3822 1.3753 3.8901
Ni Tb Co
1 2 1
Direct
0.5000 0.5000 0.5000
0.2500 0.2500 0.2500
0.7500 0.7500 0.7500
0.0000 0.0000 0.0000
```

Values from the calculation:
Crystal system = cubic
Space-group type = No. 225
D(E_F) = 3.1 states/eV per cell

=====

Entry ii
VASP calculation (PBE) on Tb2CoNi after structural relaxation.

Geometry as POSCAR:
```
Tb2CoNi
1.0
3.3592 0.0000 0.0000
0.0000 3.3592 0.0000
0.0000 0.0000 6.7855
Ni Tb Co
1 2 1
Direct
0.5000 0.5000 0.5000
0.0000 0.0000 0.7538
0.0000 0.0000 0.2462
0.5000 0.5000 0.0000
```

Values from the calculation:
Crystal system = tetragonal
Space-group type = No. 123
D(E_F) = 1.1 states/eV per cell

=====

entry ii is the most stable structure; the next one sits 0.020 eV/atom above it.

=====

Entry i
VASP calculation (PBE) on Tb2CoNi after structural relaxation.

Geometry as POSCAR:
```
Tb2CoNi
1.0
-3.9416 0.2958 -0.0014
-0.1290 -1.7357 -3.4326
-0.2878 -3.8158 4.0978
Tb Co Ni
2 1 1
Direct
0.0000 0.9826 0.9652
0.5000 0.2657 0.5315
0.0000 0.6937 0.3875
0.5000 0.5572 0.1143
```

Values from the calculation:
Crystal system = orthorhombic
Space-group type = No. 38
D(E_F) = 2.9 states/eV per cell

=====

Entry ii
VASP calculation (PBE) on Tb2CoNi after structural relaxation.

Geometry as POSCAR:
```
Tb2CoNi
1.0
3.4587 0.0000 0.0000
1.7293 2.9953 0.0000
1.7293 0.9984 8.6284
Ni Tb Co
1 2 1
Direct
0.5000 0.5000 0.5000
0.0955 0.0955 0.7136
0.9045 0.9045 0.2864
0.0000 0.0000 0.0000
```

Values from the calculation:
Crystal system = trigonal
Space-group type = No. 166
D(E_F) = 2.3 states/eV per cell

=====

entry i is the most stable structure; the next one sits 0.749 eV/atom above it.

=====

Entry i
VASP calculation (PBE) on CoTc2Ni after structural relaxation.

Geometry as POSCAR:
```
CoTc2Ni
1.0
-1.1052 -2.4639 3.1804
1.4041 0.8022 3.8461
-2.6183 1.4158 2.9236
Ni Co Tc
1 1 2
Direct
0.5000 0.5000 0.5000
0.0000 0.0000 0.0000
0.2500 0.2500 0.2500
0.7500 0.7500 0.7500
```

Values from the calculation:
Crystal system = cubic
Space-group type = No. 225
D(E_F) = 5.4 states/eV per cell

=====

Entry ii
VASP calculation (PBE) on CoTc2Ni after structural relaxation.

Geometry as POSCAR:
```
CoTc2Ni
1.0
-2.0461 -1.1359 2.8105
3.0240 -1.0121 1.7925
0.2286 3.4408 1.5571
Co Ni Tc
1 1 2
Direct
0.5000 0.0000 0.5000
0.0000 0.5000 0.5000
0.0000 0.0000 0.0000
0.5000 0.5000 0.0000
```

Values from the calculation:
Crystal system = tetragonal
Space-group type = No. 123
D(E_F) = 4.6 states/eV per cell

=====

Entry iii
VASP calculation (PBE) on CoTc2Ni after structural relaxation.

Geometry as POSCAR:
```
CoTc2Ni
1.0
4.1872 0.0000 0.0000
2.0936 3.6262 0.0000
2.0936 1.2087 3.4188
Co Ni Tc
1 1 2
Direct
0.5000 0.5000 0.5000
0.7500 0.7500 0.7500
0.0000 0.0000 0.0000
0.2500 0.2500 0.2500
```

Values from the calculation:
Crystal system = cubic
Space-group type = No. 216
D(E_F) = 4.7 states/eV per cell

=====

Entry iv
VASP calculation (PBE) on CoTc2Ni after structural relaxation.

Geometry as POSCAR:
```
CoTc2Ni
1.0
-2.3412 2.6017 -2.9442
-4.4008 -1.2391 -0.1263
2.8431 0.9995 3.4404
Co Ni Tc
1 1 2
Direct
0.2500 0.7500 0.5000
0.7500 0.2500 0.5000
0.0000 0.0000 0.0000
0.5000 0.5000 0.0000
```

Values from the calculation:
Crystal system = tetragonal
Space-group type = No. 139
D(E_F) = 4.7 states/eV per cell

=====

entry ii is the most stable structure; the next one sits 0.010 eV/atom above it.

=====

Entry i
VASP calculation (PBE) on Co2TcNi2 after structural relaxation.

Geometry as POSCAR:
```
Co2TcNi2
1.0
3.2931 0.0000 0.0000
0.0000 3.2931 0.0000
1.6466 1.6466 5.7474
Ni Co Tc
2 2 1
Direct
0.4008 0.4008 0.1983
0.5992 0.5992 0.8017
0.7500 0.2500 0.5000
0.2500 0.7500 0.5000
0.0000 0.0000 0.0000
```

Values from the calculation:
Crystal system = tetragonal
Space-group type = No. 139
D(E_F) = 5.3 states/eV per cell

=====

Entry ii
VASP calculation (PBE) on Co2TcNi2 after structural relaxation.

Geometry as POSCAR:
```
Co2TcNi2
1.0
6.8132 0.0000 0.0000
0.0000 6.8132 0.0000
0.0000 0.0000 2.5384
Ni Co Tc
4 4 2
Direct
0.3769 0.8769 0.0000
0.8769 0.6231 0.0000
0.6231 0.1231 0.0000
0.1231 0.3769 0.0000
0.1744 0.6744 0.5000
0.6744 0.8256 0.5000
0.8256 0.3256 0.5000
0.3256 0.1744 0.5000
0.0000 0.0000 0.0000
0.5000 0.5000 0.0000
```

Values from the calculation:
Crystal system = tetragonal
Space-group type = No. 127
D(E_F) = 13.2 states/eV per cell

=====

entry ii is the most stable structure; the next one sits 0.247 eV/atom above it.